Density functional theory data (PBE) for a geometry-optimized SbW structure.

Unit cell a=7.5873 b=7.5873 c=7.5873 alpha=90.00 beta=90.00 gamma=90.00
Site moments in Bohr magnetons follow the coordinates.
Sites, in units of the cell vectors:
Sb  0.2500  0.0000  0.5000  -0.08
Sb  0.0000  0.5000  0.2500  -0.08
W  0.7500  0.5000  0.0000  1.40
W  0.0000  0.2500  0.5000  1.40
W  0.5000  0.0000  0.7500  1.40
Sb  0.7500  0.0000  0.5000  -0.08
W  0.0000  0.7500  0.5000  1.40
W  0.2500  0.5000  0.0000  1.40
Sb  0.0000  0.5000  0.7500  -0.08
W  0.5000  0.0000  0.2500  1.40
Sb  0.5000  0.7500  0.0000  -0.08
Sb  0.5000  0.2500  0.0000  -0.08

Results
**Energy relative to the lowest polymorph listed for this composition**: 1455 meV/atom
**E_tot**: -13.62 eV/f.u.
**Total magnetic moment**: 0.889 μB per atom
**Raw formation energy**: 1726 meV per atom

Density functional theory data (PBE) for a geometry-optimized SbW structure.

Unit cell a=4.9515 b=4.9515 c=7.8826 alpha=90.00 beta=90.00 gamma=120.00
Sites, in units of the cell vectors:
W  0.3333  0.6667  0.0903
Sb  0.6667  0.3333  0.2500
Sb  0.3333  0.6667  0.7500
W  0.3333  0.6667  0.4097
Sb  0.0000  0.0000  0.2500
W  0.6667  0.3333  0.5903
W  0.6667  0.3333  0.9097
Sb  0.0000  0.0000  0.7500

Results
**Energy relative to the lowest polymorph listed for this composition**: 814 meV/atom
**E_tot**: -14.91 eV/f.u.
**Total magnetic moment**: 0.000 μB per atom
**Raw formation energy**: 1084 meV per atom